The following is a DFT calculation (PBE) of a geometry-optimized BaLiPCl2 structure.

**Theoretical density**: 1779 kg/m3
**Distance to the lowest polymorph of the same formula**: 419 meV per atom
**D(E_F)**: 3.84 states/eV/cell
**Energy relative to the elements, uncorrected**: -0.738 eV per atom

Cell: 5.979 5.979 6.427 Å, 90.00 90.00 90.00°
Positions (direct):
Ba 0.000 0.000 0.000
Li 0.500 0.500 0.500
P 0.000 0.000 0.500
Cl 0.000 0.500 0.000
Cl 0.500 0.000 0.000